# 1
GGA-PBE Ca2ZnGa2, relaxed; excess energy over the best structure of this formula in the dataset = 324 meV per atom; electronic total energy = -11.9 eV per cell; formation energy = -0.11 eV/atom; magnetization = 0.0 μB per formula unit; space group = No. 139
1.0
-2.742 -5.251 -0.416
0.509 -0.731 5.872
-4.483 -1.273 3.234
Ca Zn Ga
2 1 2
Direct
0.250 0.750 0.500
0.750 0.250 0.500
0.000 0.000 0.000
0.660 0.660 0.681
0.340 0.340 0.319



# 2
GGA-PBE Mn2P, relaxed; electronic total energy = -98.6 eV per cell; formation energy = -0.30 eV/atom; magnetization = 1.0 μB per formula unit; space group = No. 216
1.0
5.350 0.000 0.000
0.000 5.350 0.000
0.000 0.000 5.350
Mn P
8 4
Direct
0.000 0.500 0.500
0.000 0.000 0.000
0.500 0.000 0.500
0.250 0.250 0.750
0.750 0.250 0.250
0.250 0.750 0.250
0.750 0.750 0.750
0.500 0.500 0.000
0.250 0.750 0.750
0.750 0.250 0.750
0.750 0.750 0.250
0.250 0.250 0.250



# 3
GGA-PBE ZnW3, relaxed; excess energy over the best structure of this formula in the dataset = 0 meV per atom; electronic total energy = -39.5 eV per cell; formation energy = 0.15 eV/atom; magnetization = 0.0 μB per formula unit; space group = No. 65
1.0
2.733 0.004 0.000
-0.834 2.602 0.000
0.000 0.000 8.883
Zn W
1 3
Direct
0.500 0.500 0.250
0.000 0.000 0.499
0.500 0.500 0.750
0.000 0.000 0.001



# 4
GGA-PBE Ti6AlTc, relaxed; excess energy over the best structure of this formula in the dataset = 0 meV per atom; electronic total energy = -63.1 eV per cell; formation energy = -0.21 eV/atom; magnetization = 0.0 μB per formula unit; space group = No. 166
1.0
-4.325 1.216 -0.220
-2.907 -2.456 -2.398
-3.876 -4.541 5.130
Ti Al Tc
6 1 1
Direct
0.236 0.236 0.292
0.628 0.628 0.117
0.372 0.372 0.883
0.111 0.111 0.668
0.764 0.764 0.708
0.889 0.889 0.332
0.500 0.500 0.500
0.000 0.000 0.000



The lowest electronic total energy belongs to which entry?
Mn2P



What is the formula in the fourth record?
Ti6AlTc